DFT (PBE) results for a geometry-optimized Li2GdPd structure.

Uncorrected energy   -95.5 eV/cell
D(E_F)   1.210 states/eV per atom
Formation energy   -191 meV per atom
Total moment   32.68 μB/cell

a = 6.6069 Å, b = 6.6069 Å, c = 6.6069 Å
α = 90.00°, β = 90.00°, γ = 90.00°
Sites, in units of the cell vectors:
Li 0.2500 0.2500 0.2500
Li 0.2500 0.2500 0.7500
Li 0.2500 0.7500 0.2500
Li 0.2500 0.7500 0.7500
Li 0.7500 0.2500 0.2500
Li 0.7500 0.2500 0.7500
Li 0.7500 0.7500 0.2500
Li 0.7500 0.7500 0.7500
Gd 0.0000 0.0000 0.0000
Gd 0.0000 0.5000 0.5000
Gd 0.5000 0.0000 0.5000
Gd 0.5000 0.5000 0.0000
Pd 0.0000 0.0000 0.5000
Pd 0.0000 0.5000 0.0000
Pd 0.5000 0.0000 0.0000
Pd 0.5000 0.5000 0.5000



DFT (PBE) results for a geometry-optimized OsRhPb structure.

Uncorrected energy   -83.2 eV/cell
D(E_F)   1.032 states/eV per atom
Formation energy   494 meV per atom
E above lowest polymorph   36 meV per atom
Total moment   0.00 μB/cell

a = 10.2452 Å, b = 4.6477 Å, c = 5.5836 Å
α = 90.00°, β = 122.81°, γ = 90.00°
Sites, in units of the cell vectors:
Os 0.2484 0.0000 0.4208
Os 0.2516 0.5000 0.5792
Os 0.7484 0.5000 0.4208
Os 0.7516 0.0000 0.5792
Rh 0.0000 0.7203 0.0000
Rh 0.0000 0.7746 0.5000
Rh 0.5000 0.2203 0.0000
Rh 0.5000 0.2746 0.5000
Pb 0.1089 0.2478 0.8576
Pb 0.3911 0.7478 0.1424
Pb 0.6089 0.7478 0.8576
Pb 0.8911 0.2478 0.1424



DFT (PBE) results for a geometry-optimized LiSm4Ga3 structure.

Uncorrected energy   -66.9 eV/cell
D(E_F)   0.529 states/eV per atom
Formation energy   -450 meV per atom
Total moment   0.00 μB/cell

a = 5.1269 Å, b = 5.1269 Å, c = 14.9750 Å
α = 90.00°, β = 90.00°, γ = 90.00°
Sites, in units of the cell vectors:
Li 0.0000 0.0000 0.0000
Li 0.5000 0.5000 0.5000
Sm 0.0000 0.5000 0.1283
Sm 0.0000 0.5000 0.3717
Sm 0.0000 0.5000 0.6283
Sm 0.0000 0.5000 0.8717
Sm 0.5000 0.0000 0.1283
Sm 0.5000 0.0000 0.3717
Sm 0.5000 0.0000 0.6283
Sm 0.5000 0.0000 0.8717
Ga 0.0000 0.0000 0.2463
Ga 0.0000 0.0000 0.5000
Ga 0.0000 0.0000 0.7537
Ga 0.5000 0.5000 0.0000
Ga 0.5000 0.5000 0.2537
Ga 0.5000 0.5000 0.7463



DFT (PBE) results for a geometry-optimized NaTaZnN2 structure.

Uncorrected energy   -22.1 eV/cell
D(E_F)   0.479 states/eV per atom
E above lowest polymorph   0 meV per atom
Total moment   1.48 μB/cell

a = 4.0344 Å, b = 4.0344 Å, c = 4.1056 Å
α = 90.00°, β = 90.00°, γ = 90.00°
Sites, in units of the cell vectors:
Na 0.0000 0.0000 0.0000
Ta 0.5000 0.5000 0.0000
Zn 0.0000 0.0000 0.5000
N 0.0000 0.5000 0.5000
N 0.5000 0.0000 0.5000



DFT (PBE) results for a geometry-optimized BaPuSb2 structure.

Uncorrected energy   -81.5 eV/cell
D(E_F)   3.964 states/eV per atom
E above lowest polymorph   47 meV per atom
Total moment   13.13 μB/cell

a = 4.6281 Å, b = 4.6281 Å, c = 24.0948 Å
α = 90.00°, β = 90.00°, γ = 120.00°
Sites, in units of the cell vectors:
Ba 0.0000 0.0000 0.0000
Ba 0.3333 0.6667 0.6667
Ba 0.6667 0.3333 0.3333
Pu 0.0000 0.0000 0.8295
Pu 0.3333 0.6667 0.4962
Pu 0.6667 0.3333 0.1629
Sb 0.0000 0.0000 0.2323
Sb 0.0000 0.0000 0.4288
Sb 0.3333 0.6667 0.0955
Sb 0.3333 0.6667 0.8990
Sb 0.6667 0.3333 0.5657
Sb 0.6667 0.3333 0.7621



DFT (PBE) results for a geometry-optimized Ba2P2Pd3 structure.

Uncorrected energy   -70.5 eV/cell
D(E_F)   0.426 states/eV per atom
Formation energy   -717 meV per atom
Total moment   0.00 μB/cell

a = 11.6286 Å, b = 4.3084 Å, c = 7.1741 Å
α = 90.00°, β = 113.83°, γ = 90.00°
Sites, in units of the cell vectors:
Ba 0.1175 0.0000 0.2756
Ba 0.3825 0.5000 0.7244
Ba 0.6175 0.5000 0.2756
Ba 0.8825 0.0000 0.7244
P 0.1643 0.0000 0.7521
P 0.3357 0.5000 0.2479
P 0.6643 0.5000 0.7521
P 0.8357 0.0000 0.2479
Pd 0.0000 0.5000 0.5000
Pd 0.1649 0.5000 0.9044
Pd 0.3351 0.0000 0.0956
Pd 0.5000 0.0000 0.5000
Pd 0.6649 0.0000 0.9044
Pd 0.8351 0.5000 0.0956



DFT (PBE) results for a geometry-optimized SmYAgHg structure.

Uncorrected energy   -63.7 eV/cell
D(E_F)   0.864 states/eV per atom
Formation energy   -398 meV per atom
Total moment   0.00 μB/cell

a = 7.4403 Å, b = 7.4403 Å, c = 7.4403 Å
α = 90.00°, β = 90.00°, γ = 90.00°
Sites, in units of the cell vectors:
Sm 0.0000 0.0000 0.0000
Sm 0.0000 0.5000 0.5000
Sm 0.5000 0.0000 0.5000
Sm 0.5000 0.5000 0.0000
Y 0.0000 0.0000 0.5000
Y 0.0000 0.5000 0.0000
Y 0.5000 0.0000 0.0000
Y 0.5000 0.5000 0.5000
Ag 0.2500 0.2500 0.7500
Ag 0.2500 0.7500 0.2500
Ag 0.7500 0.2500 0.2500
Ag 0.7500 0.7500 0.7500
Hg 0.2500 0.2500 0.2500
Hg 0.2500 0.7500 0.7500
Hg 0.7500 0.2500 0.7500
Hg 0.7500 0.7500 0.2500



DFT (PBE) results for a geometry-optimized YInCl2 structure.

Uncorrected energy   -60.3 eV/cell
D(E_F)   0.959 states/eV per atom
E above lowest polymorph   745 meV per atom
Total moment   6.29 μB/cell

a = 7.4310 Å, b = 7.4310 Å, c = 7.4310 Å
α = 90.00°, β = 90.00°, γ = 90.00°
Sites, in units of the cell vectors:
Y 0.0000 0.0000 0.0000
Y 0.0000 0.5000 0.5000
Y 0.5000 0.0000 0.5000
Y 0.5000 0.5000 0.0000
In 0.2500 0.2500 0.7500
In 0.2500 0.7500 0.2500
In 0.7500 0.2500 0.2500
In 0.7500 0.7500 0.7500
Cl 0.0000 0.0000 0.5000
Cl 0.0000 0.5000 0.0000
Cl 0.2500 0.2500 0.2500
Cl 0.2500 0.7500 0.7500
Cl 0.5000 0.0000 0.0000
Cl 0.5000 0.5000 0.5000
Cl 0.7500 0.2500 0.7500
Cl 0.7500 0.7500 0.2500



DFT (PBE) results for a geometry-optimized PrNd4SmSe8 structure.

Uncorrected energy   -80.6 eV/cell
D(E_F)   0.654 states/eV per atom
Total moment   0.00 μB/cell

a = 8.7092 Å, b = 8.7092 Å, c = 8.7092 Å
α = 59.91°, β = 59.91°, γ = 59.91°
Sites, in units of the cell vectors:
Pr 0.0000 0.0000 0.0000
Nd 0.9998 0.9998 0.4981
Nd 0.9998 0.4981 0.9998
Nd 0.4981 0.9998 0.9998
Nd 0.6246 0.6246 0.6246
Sm 0.3740 0.3740 0.3740
Se 0.2267 0.7560 0.7560
Se 0.2428 0.2428 0.2428
Se 0.2446 0.2446 0.7673
Se 0.2446 0.7673 0.2446
Se 0.7560 0.2267 0.7560
Se 0.7560 0.7560 0.2267
Se 0.7573 0.7573 0.7573
Se 0.7673 0.2446 0.2446



DFT (PBE) results for a geometry-optimized CaZnRu2 structure.

Uncorrected energy   -20.7 eV/cell
D(E_F)   0.957 states/eV per atom
Formation energy   287 meV per atom
Total moment   1.98 μB/cell

a = 3.2925 Å, b = 3.2925 Å, c = 6.5058 Å
α = 90.00°, β = 90.00°, γ = 90.00°
Sites, in units of the cell vectors:
Ca 0.0000 0.0000 0.0000
Zn 0.0000 0.0000 0.5000
Ru 0.5000 0.5000 0.3090
Ru 0.5000 0.5000 0.6910



DFT (PBE) results for a geometry-optimized TlHgPb2 structure.

Uncorrected energy   -20.0 eV/cell
D(E_F)   0.426 states/eV per atom
Formation energy   18 meV per atom
Total moment   0.00 μB/cell

a = 3.8055 Å, b = 5.7421 Å, c = 11.0501 Å
α = 90.00°, β = 90.00°, γ = 90.00°
Sites, in units of the cell vectors:
Tl 0.0000 0.0000 0.0000
Tl 0.5000 0.5000 0.0000
Hg 0.0000 0.5000 0.2380
Hg 0.5000 0.0000 0.2380
Pb 0.0000 0.0000 0.4813
Pb 0.0000 0.5000 0.7396
Pb 0.5000 0.0000 0.7396
Pb 0.5000 0.5000 0.4813



DFT (PBE) results for a geometry-optimized AlGe2PO structure.

Uncorrected energy   -18.8 eV/cell
D(E_F)   0.681 states/eV per atom
Total moment   0.00 μB/cell

a = 4.9237 Å, b = 4.9237 Å, c = 4.3790 Å
α = 90.00°, β = 90.00°, γ = 90.00°
Sites, in units of the cell vectors:
Al 0.0000 0.0000 0.0000
Ge 0.0000 0.5000 0.0000
Ge 0.5000 0.0000 0.0000
P 0.0000 0.0000 0.5000
O 0.5000 0.5000 0.5000